SrBIrO6 | GGA-PBE | relaxed

Computed properties:
* space group: P1, No. 1
* crystal system: triclinic
* D(E_F): 1.31 states/eV per cell
* formation energy (no corrections): -1.5550 eV per atom
* total moment: 2.03 μB/f.u.

abc: 5.2248 5.2291 5.2943
angles: 67.19 88.14 88.93
Fractional coordinates of all 9 atoms:
Sr  0.0000  0.0000  0.0000
B  0.4152  0.4701  0.8771
Ir  0.4953  0.3392  0.3749
O  0.2246  0.1218  0.3734
O  0.2925  0.6157  0.0128
O  0.3008  0.4236  0.6674
O  0.6282  0.3169  0.0131
O  0.6854  0.6484  0.3009
O  0.7020  0.0779  0.6013

=====

LiEuYSi | GGA-PBE | relaxed

Computed properties:
* space group: F-43m, No. 216
* crystal system: cubic
* D(E_F): 6.65 states/eV per cell
* formation energy (no corrections): -0.3039 eV per atom
* total moment: 7.44 μB/f.u.

abc: 5.1111 5.1111 5.1111
angles: 60.00 60.00 60.00
Fractional coordinates of all 4 atoms:
Li  0.0000  0.0000  0.0000
Eu  0.7500  0.7500  0.7500
Y  0.2500  0.2500  0.2500
Si  0.5000  0.5000  0.5000

=====

Tb7Ho12Mg | GGA-PBE | relaxed

Computed properties:
* space group: R-3, No. 148
* crystal system: trigonal
* D(E_F): 30.86 states/eV per cell
* E_form: 20.73 kJ per mole of atoms
* energy above the most stable polymorph in this dataset: 0 meV per atom
* total moment: 0.00 μB/f.u.

abc: 8.6458 8.6458 8.6458
angles: 86.52 86.52 86.52
Fractional coordinates of all 20 atoms:
Tb  0.0000  0.0000  0.0000
Tb  0.1030  0.3495  0.4259
Tb  0.3495  0.4259  0.1030
Tb  0.4259  0.1030  0.3495
Tb  0.5741  0.8970  0.6505
Tb  0.6505  0.5741  0.8970
Tb  0.8970  0.6505  0.5741
Ho  0.0013  0.3630  0.8834
Ho  0.1166  0.9987  0.6370
Ho  0.2382  0.7503  0.3565
Ho  0.2497  0.6435  0.7618
Ho  0.3565  0.2382  0.7503
Ho  0.3630  0.8834  0.0013
Ho  0.6370  0.1166  0.9987
Ho  0.6435  0.7618  0.2497
Ho  0.7503  0.3565  0.2382
Ho  0.7618  0.2497  0.6435
Ho  0.8834  0.0013  0.3630
Ho  0.9987  0.6370  0.1166
Mg  0.5000  0.5000  0.5000

=====

Ta7Mo | GGA-PBE | relaxed

Computed properties:
* space group: C2/m, No. 12
* crystal system: monoclinic
* D(E_F): 9.89 states/eV per cell
* E_form: -4.74 kJ per mole of atoms
* energy above the most stable polymorph in this dataset: 5 meV per atom
* total moment: 0.00 μB/f.u.

abc: 5.4616 5.4616 6.6241
angles: 107.68 107.68 50.32
Fractional coordinates of all 8 atoms:
Ta  0.0000  0.0000  0.0000
Ta  0.2413  0.2413  0.3742
Ta  0.2461  0.2461  0.8697
Ta  0.4981  0.4981  0.2554
Ta  0.5019  0.5019  0.7446
Ta  0.7539  0.7539  0.1303
Ta  0.7587  0.7587  0.6258
Mo  0.0000  0.0000  0.5000

=====

PmTh3Al8 | GGA-PBE | relaxed

Computed properties:
* space group: R3m, No. 160
* crystal system: trigonal
* D(E_F): 8.73 states/eV per cell
* E_form: -41.75 kJ per mole of atoms
* total moment: 0.00 μB/f.u.

abc: 9.8368 9.8368 9.8368
angles: 33.69 33.69 33.69
Fractional coordinates of all 12 atoms:
Pm  0.0000  0.0000  0.0000
Th  0.1253  0.1253  0.1253
Th  0.5000  0.5000  0.5000
Th  0.6251  0.6251  0.6251
Al  0.0620  0.5630  0.5630
Al  0.0630  0.0630  0.5619
Al  0.0630  0.5619  0.0630
Al  0.3127  0.3127  0.3127
Al  0.5619  0.0630  0.0630
Al  0.5630  0.0620  0.5630
Al  0.5630  0.5630  0.0620
Al  0.8123  0.8123  0.8123

=====

TaInRu2 | GGA-PBE | relaxed

Computed properties:
* space group: Imm2, No. 44
* crystal system: orthorhombic
* D(E_F): 2.99 states/eV per cell
* E_form: -6.69 kJ per mole of atoms
* total moment: 0.00 μB/f.u.

abc: 5.3111 5.3111 5.3111
angles: 142.61 133.02 61.53
Fractional coordinates of all 4 atoms:
Ta  0.0000  0.0000  0.0000
In  0.2610  0.7610  0.5000
Ru  0.5130  0.5130  0.0000
Ru  0.7745  0.2745  0.5000

=====

AlGa2Ni7 | GGA-PBE | relaxed

Computed properties:
* space group: P3m1, No. 156
* crystal system: trigonal
* D(E_F): 4.08 states/eV per cell
* E_form: -16.50 kJ per mole of atoms
* total moment: 0.00 μB/f.u.

abc: 3.9488 3.9488 9.5171
angles: 90.00 90.00 120.00
Fractional coordinates of all 10 atoms:
Al  0.0000  0.0000  0.0000
Ga  0.3333  0.6667  0.6669
Ga  0.6667  0.3333  0.3345
Ni  0.0000  0.0000  0.2528
Ni  0.0000  0.0000  0.7414
Ni  0.3333  0.6667  0.4139
Ni  0.3333  0.6667  0.9291
Ni  0.6667  0.3333  0.0902
Ni  0.6667  0.3333  0.5794
Ni  0.6667  0.3333  0.8363

=====

Be2MoAs | GGA-PBE | relaxed

Computed properties:
* space group: I-42d, No. 122
* crystal system: tetragonal
* D(E_F): 5.98 states/eV per cell
* E_form: 43.01 kJ per mole of atoms
* total moment: 0.00 μB/f.u.

abc: 5.2241 5.2241 5.2241
angles: 103.18 103.18 122.95
Fractional coordinates of all 8 atoms:
Be  0.0978  0.6250  0.9728
Be  0.3750  0.3478  0.4728
Be  0.6522  0.1250  0.0272
Be  0.8750  0.9022  0.5272
Mo  0.2500  0.7500  0.5000
Mo  0.5000  0.5000  0.0000
As  0.0000  0.0000  0.0000
As  0.7500  0.2500  0.5000